First-principles (meta-GGA SCAN) data for a crystal of CsTiP2S8 relaxed with PBEsol, as listed in Alexandria via LeMat-Bulk.

```
48
Lattice="10.855 -3.466 0.000 10.855 3.466 0.000 -2.717 0.000 17.131" Properties=species:S:1:pos:R:3 pbc="T T T"
Cs 5.470 1.617 13.383
Cs 9.497 2.076 8.566
Cs 6.828 -1.617 4.817
Cs 10.855 -2.076 0.000
Ti 3.869 0.838 8.747
Ti 5.228 -0.838 0.181
Ti 12.154 1.095 4.533
Ti 10.796 -1.095 13.099
P 9.189 1.900 4.465
P 7.799 0.956 0.335
P 14.180 2.256 2.524
P 6.441 -0.956 8.901
P 12.070 0.969 14.997
P 7.830 -1.900 13.031
P 13.428 -0.969 6.431
P 12.822 -2.256 11.090
S 7.239 2.398 1.837
S 1.938 0.997 13.118
S 3.357 1.217 16.373
S 10.748 2.975 5.239
S 3.767 0.540 1.556
S 7.518 1.812 5.490
S 6.159 0.939 9.639
S 6.838 1.343 16.686
S 2.409 -0.540 10.122
S 11.287 2.502 16.095
S 3.296 -0.997 4.552
S 12.330 1.464 2.157
S 4.715 -1.217 7.807
S 10.021 0.094 3.968
S 11.798 1.083 12.980
S 7.517 -0.939 1.073
S 8.662 -0.094 12.533
S 12.555 0.820 6.903
S 15.629 0.962 1.885
S 14.024 1.085 15.596
S 8.197 -1.343 8.121
S 6.160 -1.812 14.055
S 5.880 -2.398 10.403
S 11.197 -0.820 15.468
S 13.157 -1.083 4.414
S 10.972 -1.464 10.723
S 14.271 -0.962 10.451
S 18.445 0.382 11.246
S 15.382 -1.085 7.031
S 9.390 -2.975 13.804
S 19.803 -0.382 2.680
S 12.645 -2.502 7.529
```

Summary:
Uncorrected formation energy (meV per atom): -842
Crystal system: monoclinic



First-principles (meta-GGA SCAN) data for a crystal of CsZrPS2 relaxed with PBEsol, as listed in Alexandria via LeMat-Bulk.

```
5
Lattice="5.098 0.000 0.000 0.000 5.098 0.000 0.000 0.000 5.305" Properties=species:S:1:pos:R:3 pbc="T T T"
Cs 0.000 0.000 0.000
Zr 2.549 2.549 2.652
P 0.000 0.000 2.652
S 0.000 2.549 0.000
S 2.549 0.000 0.000
```

Summary:
Uncorrected formation energy (meV per atom): 1480
Crystal system: tetragonal



First-principles (meta-GGA SCAN) data for a crystal of CsSb2TeP relaxed with PBEsol, as listed in Alexandria via LeMat-Bulk.

```
5
Lattice="6.234 0.000 0.000 0.000 6.234 0.000 0.000 0.000 6.060" Properties=species:S:1:pos:R:3 pbc="T T T"
Cs 0.000 0.000 0.000
Sb 0.000 3.117 0.000
Sb 3.117 0.000 0.000
Te 0.000 0.000 3.030
P 3.117 3.117 3.030
```

Summary:
Uncorrected formation energy (meV per atom): 1908
Crystal system: tetragonal



First-principles (meta-GGA SCAN) data for a crystal of CsPSe6 relaxed with PBEsol, as listed in Alexandria via LeMat-Bulk.

```
32
Lattice="6.868 0.000 0.000 0.000 12.372 0.000 -6.534 0.000 11.091" Properties=species:S:1:pos:R:3 pbc="T T T"
Cs 0.000 12.369 0.000
Cs -3.267 0.004 5.545
Cs 1.817 5.965 2.768
Cs -1.450 6.408 8.313
P -1.624 2.049 2.775
P -4.891 10.323 8.320
P -4.881 4.201 8.315
P -1.614 8.171 2.770
Se -0.593 3.344 1.223
Se -3.860 9.028 6.768
Se -4.791 5.372 10.165
Se -1.524 7.000 4.620
Se -3.043 2.948 8.007
Se 0.224 9.424 2.461
Se 0.004 0.882 3.657
Se -3.263 11.491 9.202
Se -0.573 4.160 5.297
Se -3.840 8.213 10.842
Se -3.010 2.072 10.278
Se 0.257 10.300 4.733
Se 0.102 2.068 6.361
Se 3.369 10.304 0.816
Se 4.207 4.163 0.246
Se 0.940 8.209 5.792
Se 3.608 0.892 1.894
Se 0.341 11.480 7.439
Se 0.146 2.953 8.629
Se 3.413 9.420 3.084
Se 1.898 5.366 6.462
Se 5.165 7.006 0.916
Se 4.221 3.350 4.328
Se 0.954 9.023 9.874
```

Summary:
Uncorrected formation energy (meV per atom): -434
Crystal system: monoclinic